No. 1
VASP calculation (PBE) on an optimized crystal structure of CsBSe2N.

a = 6.9017 Å, b = 6.9017 Å, c = 2.7600 Å
α = 90.00°, β = 90.00°, γ = 90.00°
With the nearest neighbours (Å) after each atom.
Atoms (fractional coordinates):
Cs 0.5000 0.5000 0.5000  2 Cs 2.76
B 0.0000 0.0000 0.0000  2 N 1.38
Se 0.0000 0.5000 0.0000  2 Se 2.76
Se 0.5000 0.0000 0.0000  2 Se 2.76
N 0.0000 0.0000 0.5000  2 B 1.38

Raw total energy, eV per atom: -4.545
V, Å³/atom: 26.3
Crystal system: tetragonal
Formation energy from raw total energies, meV per atom: 20.1

No. 2
VASP calculation (PBE) on an optimized crystal structure of CsBTe2N.

a = 7.2703 Å, b = 7.2703 Å, c = 2.8501 Å
α = 90.00°, β = 90.00°, γ = 90.00°
With the nearest neighbours (Å) after each atom.
Atoms (fractional coordinates):
Cs 0.5000 0.5000 0.5000  2 Cs 2.85
B 0.0000 0.0000 0.0000  2 N 1.43
Te 0.0000 0.5000 0.0000  2 Te 2.85
Te 0.5000 0.0000 0.0000  2 Te 2.85
N 0.0000 0.0000 0.5000  2 B 1.43

Raw total energy, eV per atom: -4.420
E above lowest polymorph, meV/atom: 0.0
V, Å³/atom: 30.1
Crystal system: tetragonal
Formation energy from raw total energies, meV per atom: 7.5

No. 3
VASP calculation (PBE) on an optimized crystal structure of CsBTe2N.

a = 6.6764 Å, b = 6.6764 Å, c = 4.1518 Å
α = 90.00°, β = 90.00°, γ = 90.00°
With the nearest neighbours (Å) after each atom.
Atoms (fractional coordinates):
Cs 0.0000 0.0000 0.0000  2 N 2.08
B 0.5000 0.5000 0.5000  8 Te 3.93, 2 B 4.15
Te 0.0000 0.5000 0.0000  2 Cs 3.34
Te 0.5000 0.0000 0.0000  2 Cs 3.34
N 0.0000 0.0000 0.5000  2 Cs 2.08

Raw total energy, eV per atom: -1.854
E above lowest polymorph, meV/atom: 2566.6
V, Å³/atom: 37.0
Crystal system: tetragonal
Formation energy from raw total energies, meV per atom: 2574.1

No. 4
VASP calculation (PBE) on an optimized crystal structure of CsNa3B.

a = 5.5612 Å, b = 5.5612 Å, c = 5.5612 Å
α = 90.00°, β = 90.00°, γ = 90.00°
With the nearest neighbours (Å) after each atom.
Atoms (fractional coordinates):
Cs 0.5000 0.5000 0.5000  12 Na 3.93
Na 0.0000 0.5000 0.0000  2 B 2.78
Na 0.0000 0.0000 0.5000  2 B 2.78
Na 0.5000 0.0000 0.0000  2 B 2.78
B 0.0000 0.0000 0.0000  6 Na 2.78

ΔE_f, eV per formula unit: 3.18
Raw total energy, eV per atom: -1.662
E above lowest polymorph, meV/atom: 0.0
V, Å³/atom: 34.4
Crystal system: cubic